Entry 1:
## ZrTl2Te (PBE)

Data for crystalline ZrTl2Te at its relaxed geometry.

```
4
Lattice="-8.176 6.579 -0.626 -9.860 3.645 0.126 -8.508 5.568 2.672" Properties=species:S:1:pos:R:3 pbc="T T T"
Tl -13.395 7.969 1.096
Te -19.908 11.844 1.629
Zr -6.636 3.948 0.543
Tl -26.420 15.718 2.162
```

## Properties
Uncorrected formation energy   0.19 eV/atom
SG   R-3m (166)
Relative energy among the computed polymorphs   43.4 kJ/mol of atoms

Entry 2:
## ZrTlTe2 (PBE)

Data for crystalline ZrTlTe2 at its relaxed geometry.

```
8
Lattice="-4.137 9.264 -6.030 1.166 -8.770 7.813 2.700 3.502 3.528" Properties=species:S:1:pos:R:3 pbc="T T T"
Tl -1.771 10.730 -2.493
Te -1.078 8.374 -0.685
Te -2.709 7.577 -3.181
Zr 0.312 3.647 2.944
Zr -0.583 0.350 2.366
Te 0.807 -4.377 5.995
Tl 1.500 -6.734 7.804
Te 2.438 -3.580 8.492
```

## Properties
Uncorrected formation energy   -0.04 eV/atom
SG   Cmcm (63)

Entry 3:
## Zr2Tl2Te5 (PBE)

Data for crystalline Zr2Tl2Te5 at its relaxed geometry.

```
18
Lattice="-6.742 4.538 -1.319 -1.154 -3.804 -7.188 -4.026 -3.839 7.372" Properties=species:S:1:pos:R:3 pbc="T T T"
Te -5.577 1.088 -1.081
Tl -1.872 -2.334 1.536
Te -3.948 0.367 -4.254
Te -7.522 0.108 -4.943
Tl -5.820 -1.967 -2.718
Te 0.000 0.000 0.000
Zr -2.551 1.050 -1.513
Te -4.400 -3.212 3.807
Tl -6.103 -1.138 1.582
Te -6.346 -4.193 -0.055
Te -2.438 -1.948 -1.870
Zr -1.733 -1.791 -4.835
Te -7.539 -0.176 4.597
Zr -6.163 2.525 -3.673
Te -4.384 -2.929 -5.732
Zr -5.345 -0.316 -6.994
Tl -3.309 -5.309 -1.352
Te -9.484 -1.157 0.735
```

## Properties
Uncorrected formation energy   -0.61 eV/atom
SG   Cmce (64)

Entry 4:
## ZrTlTe (PBE)

Data for crystalline ZrTlTe at its relaxed geometry.

```
6
Lattice="4.414 0.000 0.000 0.000 4.414 0.000 0.000 0.000 9.541" Properties=species:S:1:pos:R:3 pbc="T T T"
Zr 2.207 2.207 4.771
Te 0.000 2.207 2.740
Te 2.207 0.000 6.802
Zr 0.000 0.000 4.771
Tl 0.000 2.207 7.979
Tl 2.207 0.000 1.563
```

## Properties
Uncorrected formation energy   -0.41 eV/atom
SG   P4/nmm (129)
Relative energy among the computed polymorphs   0.0 kJ/mol of atoms

Entry 5:
## ZrTlTe2 (PBE)

Data for crystalline ZrTlTe2 at its relaxed geometry.

```
4
Lattice="-0.654 1.611 4.045 3.887 -1.627 1.276 2.726 5.228 -1.641" Properties=species:S:1:pos:R:3 pbc="T T T"
Tl 1.617 -0.008 2.661
Te 0.000 0.000 0.000
Te 2.980 2.606 1.840
Zr 1.363 2.614 -0.821
```

## Properties
Uncorrected formation energy   -0.32 eV/atom
SG   P4/mmm (123)

Entry 6:
## ZrTl3Te (PBE)

Data for crystalline ZrTl3Te at its relaxed geometry.

```
5
Lattice="-2.105 -4.601 -3.113 -0.062 -3.309 4.933 -5.555 1.780 1.125" Properties=species:S:1:pos:R:3 pbc="T T T"
Tl -2.778 0.890 0.562
Te 0.000 0.000 0.000
Tl -1.052 -2.301 -1.557
Zr -3.861 -3.065 1.472
Tl -0.031 -1.655 2.467
```

## Properties
Uncorrected formation energy   1.00 eV/atom
SG   Pm-3m (221)
Relative energy among the computed polymorphs   46.6 kJ/mol of atoms

Entry 7:
## ZrTl2Te (PBE)

Data for crystalline ZrTl2Te at its relaxed geometry.

```
8
Lattice="-5.417 5.308 -4.373 0.154 -5.472 -6.832 -4.988 -1.557 -4.474" Properties=species:S:1:pos:R:3 pbc="T T T"
Tl -4.467 2.100 -4.587
Tl -1.975 -3.002 -6.054
Tl -5.711 -1.378 -7.743
Te 0.000 0.000 0.000
Te -6.518 1.835 -7.225
Tl -8.351 -1.163 -12.975
Zr -3.733 -3.555 -8.455
Zr -2.632 -0.082 -5.603
```

## Properties
Uncorrected formation energy   0.17 eV/atom
SG   I-42d (122)
Relative energy among the computed polymorphs   41.4 kJ/mol of atoms

Entry 8:
## ZrTl2Te (PBE)

Data for crystalline ZrTl2Te at its relaxed geometry.

```
4
Lattice="4.690 0.000 0.000 0.000 4.741 0.000 0.000 0.000 4.741" Properties=species:S:1:pos:R:3 pbc="T T T"
Te 2.345 0.000 2.371
Zr 2.345 2.371 0.000
Tl 0.000 2.371 2.371
Tl 0.000 0.000 0.000
```

## Properties
Uncorrected formation energy   0.06 eV/atom
SG   P4/mmm (123)
Relative energy among the computed polymorphs   30.5 kJ/mol of atoms

Entry 9:
## Zr8TlTe2 (PBE)

Data for crystalline Zr8TlTe2 at its relaxed geometry.

```
11
Lattice="-1.764 4.832 1.772 -2.162 0.375 -7.241 -4.043 -4.597 4.446" Properties=species:S:1:pos:R:3 pbc="T T T"
Zr -4.279 -0.987 -1.108
Te -2.744 -1.165 -3.622
Zr -1.687 -0.781 1.004
Zr -4.473 -0.986 2.523
Tl -0.882 2.416 0.886
Zr -1.258 0.353 -1.660
Zr -6.281 1.391 -2.027
Zr -3.690 1.596 0.085
Zr -6.710 0.257 0.637
Zr -3.496 1.596 -3.547
Te -3.460 -3.057 0.827
```

## Properties
Uncorrected formation energy   -0.17 eV/atom
SG   C2/m (12)

Entry 10:
## ZrTlTe2 (PBE)

Data for crystalline ZrTlTe2 at its relaxed geometry.

```
4
Lattice="3.999 -0.006 0.019 2.003 3.461 0.023 -2.027 -1.179 8.922" Properties=species:S:1:pos:R:3 pbc="T T T"
Te 2.759 -0.301 4.142
Te 2.745 1.994 7.778
Tl 0.771 0.861 1.577
Zr 0.753 0.850 5.954
```

## Properties
Uncorrected formation energy   -0.68 eV/atom
SG   P1 (1)

Entry 11:
## ZrTlTe2 (PBE)

Data for crystalline ZrTlTe2 at its relaxed geometry.

```
4
Lattice="-2.377 2.475 -1.211 -2.754 -2.152 1.009 -0.069 3.681 7.660" Properties=species:S:1:pos:R:3 pbc="T T T"
Tl -2.583 1.082 1.814
Te -0.038 2.023 4.209
Zr -2.617 2.922 5.644
Te -0.065 3.499 7.281
```

## Properties
Uncorrected formation energy   -0.59 eV/atom
SG   P4/mmm (123)

Entry 12:
## ZrTlTe2 (PBE)

Data for crystalline ZrTlTe2 at its relaxed geometry.

```
8
Lattice="10.012 0.000 -1.003 3.702 6.226 -2.463 -3.702 6.226 2.463" Properties=species:S:1:pos:R:3 pbc="T T T"
Zr 0.652 5.251 0.981
Zr 9.360 7.201 -1.984
Tl 5.657 7.891 0.479
Te 2.871 1.500 -0.495
Tl 4.354 4.561 -1.482
Te 7.140 10.952 -0.507
Te 7.877 4.726 -0.997
Te 2.135 7.726 -0.006
```

## Properties
Uncorrected formation energy   -0.50 eV/atom
SG   Cmcm (63)

Which of these has the highest uncorrected formation energy? ZrTl3Te